1.
{"formula": "HfTlCu2S4", "functional": "PBE", "state": "relaxed", "cell": [[-5.199, -2.910, 1.628], [-0.840, -6.054, -1.785], [0.067, -3.830, 5.086]], "species": ["Hf", "Tl", "Cu", "Cu", "S", "S", "S", "S"], "frac_coords": [[0.500, 0.500, 0.500], [0.000, 0.000, 0.000], [0.152, 0.348, 0.348], [0.848, 0.652, 0.652], [0.442, 0.144, 0.523], [0.109, 0.856, 0.477], [0.891, 0.523, 0.144], [0.558, 0.477, 0.856]], "e_form_raw_ev_per_atom": -0.59, "vol_a3_per_cell": 189, "total_energy_ev_per_cell": -41.71, "dos_at_fermi_per_ev_fu": 6.0}

=====

2.
{"formula": "Hf2Tl2CuS6", "functional": "PBE", "state": "relaxed", "cell": [[6.425, -0.088, 0.054], [-3.252, 5.542, 0.054], [-1.131, -1.944, 7.587]], "species": ["Hf", "Hf", "Tl", "Tl", "Cu", "S", "S", "S", "S", "S", "S"], "frac_coords": [[0.331, 0.669, 0.500], [0.669, 0.331, 0.500], [0.838, 0.162, 0.000], [0.162, 0.838, 0.000], [0.000, 0.000, 0.500], [0.744, 0.744, 0.670], [0.067, 0.412, 0.694], [0.256, 0.256, 0.330], [0.412, 0.067, 0.694], [0.933, 0.588, 0.306], [0.588, 0.933, 0.306]], "e_form_raw_ev_per_atom": -0.95, "vol_a3_per_cell": 269, "total_energy_ev_per_cell": -63.93, "dos_at_fermi_per_ev_fu": 5.5}

=====

3.
{"formula": "HfTlCuS3", "functional": "PBE", "state": "relaxed", "cell": [[7.445, 0.002, 0.000], [-6.517, 3.598, 0.000], [0.000, 0.000, 9.772]], "species": ["Hf", "Hf", "Tl", "Tl", "Cu", "Cu", "S", "S", "S", "S", "S", "S"], "frac_coords": [[0.000, 0.000, 0.500], [0.000, 0.000, 0.000], [0.744, 0.256, 0.250], [0.256, 0.744, 0.750], [0.538, 0.462, 0.750], [0.462, 0.538, 0.250], [0.619, 0.381, 0.548], [0.381, 0.619, 0.452], [0.381, 0.619, 0.048], [0.940, 0.060, 0.750], [0.060, 0.940, 0.250], [0.619, 0.381, 0.952]], "e_form_raw_ev_per_atom": -1.00, "vol_a3_per_cell": 262, "total_energy_ev_per_cell": -69.62}